1.
This record from the Alexandria database describes an optimized crystal structure of CeLuNi2. The functional is PBE-GGA.

Properties
spin magnetization = 0.16 μB/f.u.
ΔE to the lowest computed polymorph = 0.21 kcal/mol of atoms
density of states at the Fermi level = 18.33 states/eV per cell
electronic total energy = -93.720 eV/cell
formation energy = -353 meV/atom

```
data_CeLuNi2
_cell_length_a 6.731
_cell_length_b 6.731
_cell_length_c 6.731
_cell_angle_alpha 90.00
_cell_angle_beta 90.00
_cell_angle_gamma 90.00
_symmetry_space_group_name_H-M 'F m -3 m'
_symmetry_Int_Tables_number 225
_symmetry_space_group_name_Hall '-F 4 2 3'
loop_
_atom_site_label
_atom_site_fract_x
_atom_site_fract_y
_atom_site_fract_z
_atom_site_occupancy
Ce1 0.000 0.000 0.000 1
Lu1 0.000 0.000 0.500 1
Ni1 0.250 0.250 0.250 1
```

2.
This record from the Alexandria database describes an optimized crystal structure of PuGaTc2. The functional is PBE-GGA.

Properties
spin magnetization = 2.11 μB/f.u.
ΔE to the lowest computed polymorph = 0.11 kcal/mol of atoms
density of states at the Fermi level = 6.32 states/eV per cell
electronic total energy = -38.534 eV/cell
formation energy = -111 meV/atom

```
data_PuGaTc2
_cell_length_a 4.335
_cell_length_b 4.335
_cell_length_c 3.517
_cell_angle_alpha 90.00
_cell_angle_beta 90.00
_cell_angle_gamma 90.00
_symmetry_space_group_name_H-M 'P 4/m m m'
_symmetry_Int_Tables_number 123
_symmetry_space_group_name_Hall '-P 4 2'
loop_
_atom_site_label
_atom_site_fract_x
_atom_site_fract_y
_atom_site_fract_z
_atom_site_occupancy
Pu1 0.000 0.000 0.000 1
Ga1 0.500 0.500 0.000 1
Tc1 0.000 0.500 0.500 1
```

3.
This record from the Alexandria database describes an optimized crystal structure of Ba8P3SI3. The functional is PBE-GGA.

Properties
spin magnetization = 0.94 μB/f.u.
density of states at the Fermi level = 15.72 states/eV per cell
electronic total energy = -183.681 eV/cell
formation energy (no corrections) = -1389 meV/atom

```
data_Ba8P3SI3
_cell_length_a 9.4669
_cell_length_b 9.4669
_cell_length_c 24.7433
_cell_angle_alpha 90.00
_cell_angle_beta 90.00
_cell_angle_gamma 120.00
_symmetry_space_group_name_H-M 'R -3 m'
_symmetry_Int_Tables_number 166
_symmetry_space_group_name_Hall '-R 3 2"'
loop_
_atom_site_label
_atom_site_fract_x
_atom_site_fract_y
_atom_site_fract_z
_atom_site_occupancy
Ba1 0.0000 0.0000 0.2349 1
Ba2 0.0067 0.5033 0.7653 1
P1 0.0000 0.5000 0.5000 1
S1 0.0000 0.0000 0.5000 1
I1 0.0000 0.5000 0.0000 1
```

4.
This record from the Alexandria database describes an optimized crystal structure of Mo3HPd. The functional is PBE-GGA.

Properties
spin magnetization = 0.00 μB/f.u.
ΔE to the lowest computed polymorph = 60.92 kcal/mol of atoms
density of states at the Fermi level = 8.31 states/eV per cell
electronic total energy = -27.589 eV/cell

```
data_Mo3HPd
_cell_length_a 4.759
_cell_length_b 4.759
_cell_length_c 4.759
_cell_angle_alpha 90.00
_cell_angle_beta 90.00
_cell_angle_gamma 90.00
_symmetry_space_group_name_H-M 'P m -3 m'
_symmetry_Int_Tables_number 221
_symmetry_space_group_name_Hall '-P 4 2 3'
loop_
_atom_site_label
_atom_site_fract_x
_atom_site_fract_y
_atom_site_fract_z
_atom_site_occupancy
Mo1 0.000 0.000 0.500 1
H1 0.500 0.500 0.500 1
Pd1 0.000 0.000 0.000 1
```

5.
This record from the Alexandria database describes an optimized crystal structure of AgAu3. The functional is PBE-GGA.

Properties
spin magnetization = 0.00 μB/f.u.
ΔE to the lowest computed polymorph = 0.08 kcal/mol of atoms
density of states at the Fermi level = 0.64 states/eV per cell
electronic total energy = -12.809 eV/cell
formation energy = -31 meV/atom

```
data_AgAu3
_cell_length_a 2.917
_cell_length_b 4.868
_cell_length_c 5.080
_cell_angle_alpha 90.00
_cell_angle_beta 90.00
_cell_angle_gamma 90.00
_symmetry_space_group_name_H-M 'P m m 2'
_symmetry_Int_Tables_number 25
loop_
_symmetry_equiv_pos_as_xyz
'x,y,z'
'-x,-y,z'
'-x,y,z'
'x,-y,z'
loop_
_atom_site_label
_atom_site_fract_x
_atom_site_fract_y
_atom_site_fract_z
_atom_site_occupancy
Ag1 0.000 0.000 0.000 1
Au1 0.000 0.500 0.332 1
Au2 0.500 0.000 0.500 1
Au3 0.500 0.500 0.834 1
```

6.
This record from the Alexandria database describes an optimized crystal structure of Ce5PuN6. The functional is PBE-GGA.

Properties
spin magnetization = 7.11 μB/f.u.
density of states at the Fermi level = 30.96 states/eV per cell
electronic total energy = -222.826 eV/cell
formation energy (no corrections) = -1455 meV/atom

```
data_Ce5PuN6
_cell_length_a 6.164
_cell_length_b 10.677
_cell_length_c 6.165
_cell_angle_alpha 90.00
_cell_angle_beta 109.45
_cell_angle_gamma 90.00
_symmetry_space_group_name_H-M 'C 1 2/m 1'
_symmetry_Int_Tables_number 12
loop_
_symmetry_equiv_pos_as_xyz
'x,y,z'
'-x,-y,-z'
'-x,y,-z'
'x,-y,z'
'x+1/2,y+1/2,z'
'-x+1/2,-y+1/2,-z'
'-x+1/2,y+1/2,-z'
'x+1/2,-y+1/2,z'
loop_
_atom_site_label
_atom_site_fract_x
_atom_site_fract_y
_atom_site_fract_z
_atom_site_occupancy
Ce1 0.000 0.000 0.000 1
Ce2 0.000 0.167 0.500 1
Ce3 0.000 0.333 0.000 1
Pu1 0.000 0.500 0.500 1
N1 0.246 0.500 0.252 1
N2 0.247 0.335 0.747 1
```

7.
This record from the Alexandria database describes an optimized crystal structure of PmMg3Tl3. The functional is PBE-GGA.

Properties
spin magnetization = 0.00 μB/f.u.
ΔE to the lowest computed polymorph = 11.85 kcal/mol of atoms
density of states at the Fermi level = 13.38 states/eV per cell
electronic total energy = -27.558 eV/cell
formation energy = 408 meV/atom

```
data_PmMg3Tl3
_cell_length_a 7.752
_cell_length_b 7.752
_cell_length_c 7.752
_cell_angle_alpha 90.00
_cell_angle_beta 90.00
_cell_angle_gamma 90.00
_symmetry_space_group_name_H-M 'P m -3 n'
_symmetry_Int_Tables_number 223
_symmetry_space_group_name_Hall '-P 4n 2 3'
loop_
_atom_site_label
_atom_site_fract_x
_atom_site_fract_y
_atom_site_fract_z
_atom_site_occupancy
Pm1 0.000 0.000 0.000 1
Mg1 0.000 0.250 0.500 1
Tl1 0.000 0.500 0.250 1
```

8.
This record from the Alexandria database describes an optimized crystal structure of KIrC3. The functional is PBE-GGA.

Properties
spin magnetization = 0.00 μB/f.u.
ΔE to the lowest computed polymorph = 63.86 kcal/mol of atoms
density of states at the Fermi level = 3.42 states/eV per cell
electronic total energy = -14.395 eV/cell
formation energy = 4647 meV/atom

```
data_KIrC3
_cell_length_a 4.069
_cell_length_b 4.069
_cell_length_c 4.069
_cell_angle_alpha 90.00
_cell_angle_beta 90.00
_cell_angle_gamma 90.00
_symmetry_space_group_name_H-M 'P m -3 m'
_symmetry_Int_Tables_number 221
_symmetry_space_group_name_Hall '-P 4 2 3'
loop_
_atom_site_label
_atom_site_fract_x
_atom_site_fract_y
_atom_site_fract_z
_atom_site_occupancy
K1 0.000 0.000 0.000 1
Ir1 0.500 0.500 0.500 1
C1 0.000 0.000 0.500 1
```

9.
This record from the Alexandria database describes an optimized crystal structure of LaAl2S. The functional is PBE-GGA.

Properties
spin magnetization = 0.00 μB/f.u.
density of states at the Fermi level = 10.98 states/eV per cell
electronic total energy = -72.585 eV/cell
formation energy (no corrections) = -402 meV/atom

```
data_LaAl2S
_cell_length_a 8.078
_cell_length_b 8.078
_cell_length_c 5.688
_cell_angle_alpha 90.00
_cell_angle_beta 90.00
_cell_angle_gamma 90.00
_symmetry_space_group_name_H-M 'I -4 2 d'
_symmetry_Int_Tables_number 122
_symmetry_space_group_name_Hall 'I -4 2bw'
loop_
_atom_site_label
_atom_site_fract_x
_atom_site_fract_y
_atom_site_fract_z
_atom_site_occupancy
La1 0.000 0.000 0.000 1
Al1 0.192 0.250 0.625 1
S1 0.000 0.000 0.500 1
```

10.
This record from the Alexandria database describes an optimized crystal structure of NdEr2Ag3S6. The functional is PBE-GGA.

Properties
spin magnetization = 0.00 μB/f.u.
density of states at the Fermi level = 0.00 states/eV per cell
electronic total energy = -125.355 eV/cell
formation energy (no corrections) = -1289 meV/atom

```
data_NdEr2Ag3S6
_cell_length_a 15.525
_cell_length_b 4.073
_cell_length_c 9.530
_cell_angle_alpha 90.00
_cell_angle_beta 105.88
_cell_angle_gamma 90.00
_symmetry_space_group_name_H-M 'C 1 2/m 1'
_symmetry_Int_Tables_number 12
loop_
_symmetry_equiv_pos_as_xyz
'x,y,z'
'-x,-y,-z'
'-x,y,-z'
'x,-y,z'
'x+1/2,y+1/2,z'
'-x+1/2,-y+1/2,-z'
'-x+1/2,y+1/2,-z'
'x+1/2,-y+1/2,z'
loop_
_atom_site_label
_atom_site_fract_x
_atom_site_fract_y
_atom_site_fract_z
_atom_site_occupancy
Nd1 0.000 0.000 0.000 1
Er1 0.167 0.500 0.338 1
Ag1 0.000 0.000 0.500 1
Ag2 0.172 0.500 0.941 1
S1 0.010 0.500 0.798 1
S2 0.158 0.000 0.519 1
S3 0.187 0.000 0.148 1
```

11.
This record from the Alexandria database describes an optimized crystal structure of ScZn11. The functional is PBE-GGA.

Properties
spin magnetization = 0.00 μB/f.u.
density of states at the Fermi level = 14.68 states/eV per cell
electronic total energy = -86.524 eV/cell
formation energy = -107 meV/atom

```
data_ScZn11
_cell_length_a 10.496
_cell_length_b 10.496
_cell_length_c 6.781
_cell_angle_alpha 90.00
_cell_angle_beta 90.00
_cell_angle_gamma 90.00
_symmetry_space_group_name_H-M 'I 41/a m d'
_symmetry_Int_Tables_number 141
loop_
_symmetry_equiv_pos_as_xyz
'x,y,z'
'-x,-y,-z'
'-y+1/4,x+3/4,z+1/4'
'y+1/4,-x+3/4,-z+1/4'
'-x+1/2,-y,z+1/2'
'x+1/2,y,-z+1/2'
'y+1/4,-x+1/4,z+3/4'
'-y+1/4,x+1/4,-z+3/4'
'x,-y,-z'
'-x,y,z'
'-y+1/4,-x+1/4,-z+3/4'
'y+1/4,x+1/4,z+3/4'
'-x+1/2,y,-z+1/2'
'x+1/2,-y,z+1/2'
'y+1/4,x+3/4,-z+1/4'
'-y+1/4,-x+3/4,z+1/4'
'x+1/2,y+1/2,z+1/2'
'-x+1/2,-y+1/2,-z+1/2'
'-y+3/4,x+1/4,z+3/4'
'y+3/4,-x+1/4,-z+3/4'
'-x,-y+1/2,z'
'x,y+1/2,-z'
'y+3/4,-x+3/4,z+1/4'
'-y+3/4,x+3/4,-z+1/4'
'x+1/2,-y+1/2,-z+1/2'
'-x+1/2,y+1/2,z+1/2'
'-y+3/4,-x+3/4,-z+1/4'
'y+3/4,x+3/4,z+1/4'
'-x,y+1/2,-z'
'x,-y+1/2,z'
'y+3/4,x+1/4,-z+3/4'
'-y+3/4,-x+1/4,z+3/4'
loop_
_atom_site_label
_atom_site_fract_x
_atom_site_fract_y
_atom_site_fract_z
_atom_site_occupancy
Sc1 0.000 0.250 0.375 1
Zn1 0.000 0.000 0.000 1
Zn2 0.000 0.250 0.875 1
Zn3 0.121 0.046 0.673 1
```